Below is an optimized crystal structure of NiAs2PbO8, with properties calculated at the GGA+U level.

Lattice parameters (Å, degrees): 4.915 4.915 7.465 90.00 90.00 120.00
Last column: magnetic moment on the atom in μB.
Atoms (fractional coordinates):
1 O 0.991 0.694 0.346  -0.02
2 O 0.009 0.306 0.654  -0.02
3 As 0.333 0.667 0.710  0.00
4 O 0.702 0.009 0.346  -0.02
5 Ni 0.000 0.000 0.500  0.14
6 O 0.306 0.298 0.346  -0.02
7 O 0.694 0.702 0.654  -0.02
8 O 0.667 0.333 0.062  -0.03
9 As 0.667 0.333 0.290  0.00
10 O 0.298 0.991 0.654  -0.02
11 Pb 0.000 0.000 0.000  0.00
12 O 0.333 0.667 0.938  -0.03

Computed properties:
* symmetry: No. 147
* V: 156.1 Å³/f.u.
* total energy: -5.549 eV/atom